Pr2HoP3: relaxed, PBE.

Values from the calculation:
**Energy of formation**: -1.523 eV per atom

abc: 9.242 9.242 9.242
angles: 154.11 154.11 36.94
Element x y z (fractional)
Pr (0.166, 0.166, 0.000)
Pr (0.834, 0.834, 0.000)
Ho (0.500, 0.500, 0.000)
P (0.000, 0.000, 0.000)
P (0.337, 0.337, 0.000)
P (0.663, 0.663, 0.000)



K3GeS3: relaxed, PBE.

Values from the calculation:
**ΔE to the lowest computed polymorph**: 0.156 eV per atom

abc: 10.174 10.174 12.747
angles: 90.00 90.00 39.67
Element x y z (fractional)
K (0.023, 0.331, 0.868)
K (0.155, 0.845, 0.841)
K (0.169, 0.477, 0.632)
K (0.331, 0.023, 0.132)
K (0.345, 0.655, 0.341)
K (0.477, 0.169, 0.368)
K (0.523, 0.831, 0.632)
K (0.655, 0.345, 0.659)
K (0.669, 0.977, 0.868)
K (0.831, 0.523, 0.368)
K (0.845, 0.155, 0.159)
K (0.977, 0.669, 0.132)
Ge (0.085, 0.085, 0.500)
Ge (0.415, 0.415, 0.000)
Ge (0.585, 0.585, 0.000)
Ge (0.915, 0.915, 0.500)
S (0.019, 0.671, 0.386)
S (0.171, 0.519, 0.886)
S (0.217, 0.783, 0.594)
S (0.283, 0.717, 0.094)
S (0.329, 0.981, 0.386)
S (0.481, 0.829, 0.886)
S (0.519, 0.171, 0.114)
S (0.671, 0.019, 0.614)
S (0.717, 0.283, 0.906)
S (0.783, 0.217, 0.406)
S (0.829, 0.481, 0.114)
S (0.981, 0.329, 0.614)



BaMg2SbW: relaxed, PBE.

abc: 6.183 6.183 6.204
angles: 90.00 90.00 90.00
Element x y z (fractional)
Ba (0.000, 0.000, 0.000)
Mg (0.000, 0.500, 0.000)
Mg (0.500, 0.000, 0.000)
Sb (0.000, 0.000, 0.500)
W (0.500, 0.500, 0.500)



| no. | DOS(E_F) (states/eV/atom) | electronic total energy (eV for the cell shown) |
| --- | --- | --- |
| 1 | 0.13 | -39.507 |
| 2 | 0.35 | -106.034 |
| 3 | 0.99 | -11.620 |